Record 1
## NpCoCuO6 (PBE+U)

Data for a geometry-optimized NpCoCuO6 structure.

Unit cell a=5.0721 b=5.0721 c=9.0310 alpha=90.00 beta=90.00 gamma=120.00
With the nearest neighbours (Å) after each atom.
Element x y z (fractional)
Np1 0.3333 0.6667 0.2500  6 O 2.03
Np2 0.6667 0.3333 0.7500  6 O 2.03
Co1 0.3333 0.6667 0.7500  6 O 1.92
Co2 0.6667 0.3333 0.2500  6 O 1.92
Cu1 0.0000 0.0000 0.0000  6 O 2.12
Cu2 0.0000 0.0000 0.5000  6 O 2.12
O1 0.0165 0.3535 0.6316  1 Co 1.92, 1 Np 2.03, 1 Cu 2.12
O2 0.0165 0.6629 0.8684  1 Co 1.92, 1 Np 2.03, 1 Cu 2.12
O3 0.3371 0.3535 0.8684  1 Co 1.92, 1 Np 2.03, 1 Cu 2.12
O4 0.3371 0.9835 0.6316  1 Co 1.92, 1 Np 2.03, 1 Cu 2.12
O5 0.3535 0.0165 0.1316  1 Co 1.92, 1 Np 2.03, 1 Cu 2.12
O6 0.3535 0.3371 0.3684  1 Co 1.92, 1 Np 2.03, 1 Cu 2.12
O7 0.6465 0.6629 0.6316  1 Co 1.92, 1 Np 2.03, 1 Cu 2.12
O8 0.6465 0.9835 0.8684  1 Co 1.92, 1 Np 2.03, 1 Cu 2.12
O9 0.6629 0.0165 0.3684  1 Co 1.92, 1 Np 2.03, 1 Cu 2.12
O10 0.6629 0.6465 0.1316  1 Co 1.92, 1 Np 2.03, 1 Cu 2.12
O11 0.9835 0.3371 0.1316  1 Co 1.92, 1 Np 2.03, 1 Cu 2.12
O12 0.9835 0.6465 0.3684  1 Co 1.92, 1 Np 2.03, 1 Cu 2.12

Results
- Crystal system: trigonal
- Calculated volume: 201.2 Å³/cell
- ρ: 7.518 g/cm3
- Energy: -131.32 eV per cell


Record 2
## NpCoCu2O8 (PBE+U)

Data for a geometry-optimized NpCoCu2O8 structure.

Unit cell a=5.7184 b=5.7184 c=5.7184 alpha=112.71 beta=112.71 gamma=103.18
With the nearest neighbours (Å) after each atom.
Element x y z (fractional)
Np1 0.0000 0.0000 0.0000  4 O 1.93
Co1 0.2500 0.7500 0.5000  4 O 1.91
Cu1 0.5000 0.5000 0.0000  4 O 1.91
Cu2 0.7500 0.2500 0.5000  4 O 1.86
O1 0.3029 0.0981 0.7953  1 Co 1.91, 1 Cu 1.91
O2 0.3029 0.5076 0.2047  1 Co 1.91, 1 Cu 1.91
O3 0.3571 0.0610 0.2961  1 Cu 1.86, 1 Np 1.93
O4 0.4924 0.6971 0.7953  1 Co 1.91, 1 Cu 1.91
O5 0.7649 0.0610 0.7039  1 Cu 1.86, 1 Np 1.93
O6 0.9019 0.6971 0.2047  1 Co 1.91, 1 Cu 1.91
O7 0.9390 0.2351 0.2961  1 Cu 1.86, 1 Np 1.93
O8 0.9390 0.6429 0.7039  1 Cu 1.86, 1 Np 1.93

Results
- Crystal system: tetragonal
- Calculated volume: 142.7 Å³/cell
- ρ: 6.414 g/cm3
- Energy: -77.94 eV per cell


Record 3
## NpCo2CuO6 (PBE+U)

Data for a geometry-optimized NpCo2CuO6 structure.

Unit cell a=5.9336 b=5.9336 c=4.0603 alpha=90.00 beta=90.00 gamma=90.00
With the nearest neighbours (Å) after each atom.
Element x y z (fractional)
Np1 0.0000 0.0000 0.0000  6 O 2.03-2.08
Co1 0.0000 0.5000 0.0047  4 O 2.10
Co2 0.5000 0.0000 0.0047  4 O 2.10
Cu1 0.5000 0.5000 0.9966  6 O 2.02-2.12
O1 0.0000 0.0000 0.5002  2 Np 2.03
O2 0.2479 0.2479 0.0013  1 Np 2.08, 2 Co 2.10, 1 Cu 2.12
O3 0.2479 0.7521 0.0013  1 Np 2.08, 2 Co 2.10, 1 Cu 2.12
O4 0.5000 0.5000 0.4985  2 Cu 2.02-2.04
O5 0.7521 0.2479 0.0013  1 Np 2.08, 2 Co 2.10, 1 Cu 2.12
O6 0.7521 0.7521 0.0013  1 Np 2.08, 2 Co 2.10, 1 Cu 2.12

Results
- Crystal system: tetragonal
- Calculated volume: 143.0 Å³/cell
- ρ: 5.975 g/cm3
- Energy: -68.80 eV per cell


Record 4
## Np2CoCuO8 (PBE+U)

Data for a geometry-optimized Np2CoCuO8 structure.

Unit cell a=5.8646 b=5.8646 c=5.8646 alpha=111.35 beta=111.35 gamma=105.77
With the nearest neighbours (Å) after each atom.
Element x y z (fractional)
Np1 0.0000 0.0000 0.0000  4 O 2.02
Np2 0.7500 0.2500 0.5000  4 O 2.00
Co1 0.2500 0.7500 0.5000  4 O 1.93
Cu1 0.5000 0.5000 0.0000  4 O 1.96
O1 0.0497 0.3509 0.3013  1 Co 1.93, 1 Np 2.02
O2 0.0497 0.7484 0.6987  1 Co 1.93, 1 Np 2.02
O3 0.0950 0.2970 0.7980  1 Cu 1.96, 1 Np 2.00
O4 0.2516 0.9503 0.3013  1 Co 1.93, 1 Np 2.02
O5 0.4989 0.2970 0.2020  1 Cu 1.96, 1 Np 2.00
O6 0.6491 0.9503 0.6987  1 Co 1.93, 1 Np 2.02
O7 0.7030 0.5011 0.7980  1 Cu 1.96, 1 Np 2.00
O8 0.7030 0.9050 0.2020  1 Cu 1.96, 1 Np 2.00

Results
- Crystal system: tetragonal
- Calculated volume: 154.8 Å³/cell
- ρ: 7.772 g/cm3
- Energy: -98.96 eV per cell